Record 1
VASP calculation (PBE) on a geometry-optimized Ac3PmCd2 structure.

DOS(E_F) in states/eV per atom: 1.077
Energy relative to the lowest polymorph listed for this composition in eV per atom: 0.022
Calculated volume in Å³/cell: 426.8
ΔE_f in eV per atom: -0.16
Size of the total moment in μB per formula unit: 0.00
E_tot in eV/atom: -3.307

abc: 18.030 5.899 4.013
angles: 90.00 90.09 90.00
Space group C2/m (No. 12)
Unique sites:
Ac 0.000 0.000 0.000 [2 per cell]
Ac 0.175 0.500 0.000 [4 per cell]
Pm 0.000 0.500 0.500 [2 per cell]
Cd 0.159 0.000 0.500 [4 per cell]

=====

Record 2
VASP calculation (PBE) on a geometry-optimized Th4SbRhSe2 structure.

DOS(E_F) in states/eV per atom: 0.675
Calculated volume in Å³/cell: 225.2
Size of the total moment in μB per formula unit: 0.00
Raw formation energy in eV per atom: -1.183
E_tot in eV/atom: -7.198

abc: 7.433 4.154 7.686
angles: 90.00 108.39 90.00
Space group P2/m (No. 10)
Unique sites:
Th 0.228 0.000 0.221 [2 per cell]
Th 0.258 0.500 0.768 [2 per cell]
Sb 0.000 0.000 0.500 [1 per cell]
Rh 0.000 0.500 0.000 [1 per cell]
Se 0.500 0.000 0.000 [1 per cell]
Se 0.500 0.500 0.500 [1 per cell]

=====

Record 3
VASP calculation (PBE) on a geometry-optimized Mg2Te structure.

DOS(E_F) in states/eV per atom: 0.138
Calculated volume in Å³/cell: 332.5
Size of the total moment in μB per formula unit: 0.00
Raw formation energy in eV per atom: -0.347
E_tot in eV/atom: -2.458

abc: 4.076 13.972 5.838
angles: 90.00 90.00 90.00
Space group Cmcm (No. 63)
Unique sites:
Mg 0.000 0.042 0.250 [4 per cell]
Mg 0.000 0.352 0.250 [4 per cell]
Te 0.000 0.313 0.750 [4 per cell]

=====

Record 4
VASP calculation (PBE) on a geometry-optimized Ca4Ac5Pr4 structure.

DOS(E_F) in states/eV per atom: 1.800
Calculated volume in Å³/cell: 1067.7
ΔE_f in eV per atom: 0.04
Size of the total moment in μB per formula unit: 0.00
E_tot in eV/atom: -3.624

abc: 13.903 13.903 5.523
angles: 90.00 90.00 90.00
Space group I4/m (No. 87)
Unique sites:
Ca 0.078 0.616 0.000 [8 per cell]
Ac 0.000 0.000 0.000 [2 per cell]
Ac 0.042 0.808 0.500 [8 per cell]
Pr 0.158 0.228 0.000 [8 per cell]